Cu2NiP | PBE-GGA | optimized geometry

a = 3.3824 Å, b = 3.8166 Å, c = 7.3019 Å
α = 90.00°, β = 90.00°, γ = 90.00°
Closest atoms and distances in Å follow each position.
Space group Imm2 (No. 44)
Symmetry-distinct sites (fractional):
Cu (0.0000, 0.0000, 0.0000) [2 per cell]  4 P 2.48-2.65, 4 Cu 2.53-2.61, 4 Ni 2.57
Cu (0.0000, 0.5000, 0.2270) [2 per cell]  4 Cu 2.53-2.61, 4 Ni 2.54-2.60, 4 P 2.55
Ni (0.0000, 0.0000, 0.4563) [2 per cell]  2 P 2.27, 2 Cu 2.54
P (0.0000, 0.5000, 0.7481) [2 per cell]  2 Ni 2.27, 2 Cu 2.48

Values from the calculation:
Fermi-level density of states in states/eV per cell: 3.40
Total moment in μB/cell: 0.00
Mass density in g cm⁻³: 7.6
Calculated total energy in eV/atom: -4.90



Cu3NiP | PBE-GGA | optimized geometry

a = 4.2427 Å, b = 4.2427 Å, c = 4.2427 Å
α = 90.00°, β = 90.00°, γ = 90.00°
Closest atoms and distances in Å follow each position.
Space group Pm-3m (No. 221)
Symmetry-distinct sites (fractional):
Cu (0.0000, 0.0000, 0.5000) [3 per cell]  2 P 2.12
Ni (0.5000, 0.5000, 0.5000) [1 per cell]  12 Cu 3.00
P (0.0000, 0.0000, 0.0000) [1 per cell]  6 Cu 2.12

Values from the calculation:
Polymorph energy (0 for the lowest one) in meV/atom: 0
Fermi-level density of states in states/eV per cell: 1.50
Total moment in μB/cell: 0.00
Mass density in g cm⁻³: 6.1
Calculated total energy in eV/atom: -4.22



Cu2NiP | PBE-GGA | optimized geometry

a = 2.6460 Å, b = 4.0288 Å, c = 4.5921 Å
α = 90.00°, β = 100.40°, γ = 90.00°
Closest atoms and distances in Å follow each position.
Space group P2/m (No. 10)
Symmetry-distinct sites (fractional):
Cu (0.1877, 0.0000, 0.2563) [2 per cell]  2 P 2.38, 5 Cu 2.38-2.65, 2 Ni 2.54
Ni (0.5000, 0.5000, 0.0000) [1 per cell]  2 P 2.30, 4 Cu 2.54
P (0.5000, 0.5000, 0.5000) [1 per cell]  2 Ni 2.30, 4 Cu 2.38

Values from the calculation:
Fermi-level density of states in states/eV per cell: 1.44
Total moment in μB/cell: 0.00
Mass density in g cm⁻³: 7.5
Calculated total energy in eV/atom: -4.85